Record 1
An optimized crystal structure of BeMoPb2, computed with PBE.

## Properties
The total energy comes out at -4.566 eV per atom. For the density, the calculation gives 10.6 Mg/m³. The space group is I4/mmm.

Geometry as extended XYZ:
```
4
Lattice="-2.186 2.186 4.262 2.186 -2.186 4.262 2.186 2.186 -4.262" Properties=species:S:1:pos:R:3 pbc="T T T"
Be 0.000 0.000 0.000
Mo 0.000 0.000 4.262
Pb 2.186 0.000 2.131
Pb 0.000 2.186 2.131
```


Record 2
An optimized crystal structure of KTcAu3, computed with PBE.

## Properties
For the density, the calculation gives 8.7 Mg/m³. The polymorph energy (0 for the lowest one) comes out at 0.000 eV/atom. The space group is Pm-3m.

Geometry as extended XYZ:
```
5
Lattice="5.178 0.000 0.000 0.000 5.178 0.000 0.000 0.000 5.178" Properties=species:S:1:pos:R:3 pbc="T T T"
K 0.000 0.000 0.000
Tc 2.589 2.589 2.589
Au 0.000 2.589 2.589
Au 2.589 0.000 2.589
Au 2.589 2.589 0.000
```


Record 3
An optimized crystal structure of VHg, computed with PBE.

## Properties
The total energy comes out at -4.352 eV per atom. For the density, the calculation gives 10.8 Mg/m³. The space group is Pmn2_1.

Geometry as extended XYZ:
```
12
Lattice="11.869 0.000 0.000 0.000 2.871 0.000 0.000 0.000 6.815" Properties=species:S:1:pos:R:3 pbc="T T T"
V 0.000 0.542 0.000
V 1.155 2.692 1.855
V 4.779 0.179 5.263
V 5.934 2.329 3.407
V 7.089 0.179 5.263
V 10.714 2.692 1.855
Hg 0.000 1.607 4.237
Hg 2.627 1.633 6.497
Hg 3.307 1.238 3.090
Hg 5.934 1.264 0.830
Hg 8.562 1.238 3.090
Hg 9.242 1.633 6.497
```


Record 4
An optimized crystal structure of LiCdCl3, computed with PBE.

## Properties
The value obtained for the energy relative to the elements, uncorrected is -1.372 eV/atom. For the density, the calculation gives 3.0 Mg/m³. The polymorph energy (0 for the lowest one) comes out at 0.000 eV/atom. The space group is P2_1/m.

Geometry as extended XYZ:
```
10
Lattice="6.759 0.000 0.000 0.000 3.942 0.000 -0.681 0.000 9.404" Properties=species:S:1:pos:R:3 pbc="T T T"
Li 0.485 0.985 3.686
Li 5.593 2.956 5.718
Cd 2.233 0.985 7.763
Cd 3.845 2.956 1.641
Cl 0.097 0.985 6.126
Cl 1.162 2.956 9.228
Cl 2.758 0.985 3.044
Cl 3.320 2.956 6.360
Cl 4.915 0.985 0.176
Cl 5.981 2.956 3.278
```


Record 5
An optimized crystal structure of Zn3Pt12W, computed with PBE.

## Properties
The total energy comes out at -5.924 eV per atom. For the density, the calculation gives 18.5 Mg/m³. The space group is P4/mmm.

Geometry as extended XYZ:
```
16
Lattice="3.946 0.000 0.000 0.000 3.946 0.000 0.000 0.000 15.715" Properties=species:S:1:pos:R:3 pbc="T T T"
Zn 0.000 0.000 0.000
Zn 0.000 0.000 3.846
Zn 0.000 0.000 11.869
Pt 0.000 1.973 1.952
Pt 0.000 1.973 5.928
Pt 0.000 1.973 9.787
Pt 0.000 1.973 13.764
Pt 1.973 0.000 1.952
Pt 1.973 0.000 5.928
Pt 1.973 0.000 9.787
Pt 1.973 0.000 13.764
Pt 1.973 1.973 0.000
Pt 1.973 1.973 3.935
Pt 1.973 1.973 7.858
Pt 1.973 1.973 11.781
W 0.000 0.000 7.858
```


Record 6
An optimized crystal structure of La2YCd, computed with PBE.

## Properties
The total energy comes out at -4.159 eV per atom. For the density, the calculation gives 6.1 Mg/m³. The space group is I-42d.

Geometry as extended XYZ:
```
8
Lattice="-2.320 2.320 12.043 2.320 -2.320 12.043 2.320 2.320 -12.043" Properties=species:S:1:pos:R:3 pbc="T T T"
La 3.481 1.022 -3.011
La 1.022 1.160 3.011
La -1.160 1.298 9.032
La 1.298 1.160 15.053
Y 2.320 0.000 6.021
Y 0.000 0.000 12.043
Cd 0.000 0.000 0.000
Cd 0.000 2.320 6.021
```


Copy entry 1 word for word.
An optimized crystal structure of BeMoPb2, computed with PBE.

## Properties
The total energy comes out at -4.566 eV per atom. For the density, the calculation gives 10.6 Mg/m³. The space group is I4/mmm.

Geometry as extended XYZ:
```
4
Lattice="-2.186 2.186 4.262 2.186 -2.186 4.262 2.186 2.186 -4.262" Properties=species:S:1:pos:R:3 pbc="T T T"
Be 0.000 0.000 0.000
Mo 0.000 0.000 4.262
Pb 2.186 0.000 2.131
Pb 0.000 2.186 2.131
```